Record 1
Material: Pm4NdPt2
Method: DFT, PBE-GGA
State: optimized geometry

## Properties
- energy above the most stable polymorph in this dataset (eV per atom) = 0.0273
- DOS(E_F) (states/eV/f.u.) = 8.2
- magnetization (μB/cell) = 0.00
- E (eV per atom) = -5.73

Cell and atoms, written as POSCAR:
```
Pm4NdPt2
1.0
-6.4352 -1.2902 -1.1839
2.0654 -4.9413 -5.8417
-0.6053 -3.7294 7.3539
Pm Pt Nd
8 4 2
Cartesian
0.0566 -7.4986 -1.5280
-3.6742 -7.0893 -0.4798
-2.8971 -5.5379 2.6458
-5.9941 -6.1589 2.0760
-2.0780 -4.4230 -2.3174
1.0191 -3.8021 -1.7477
-5.0316 -2.4623 1.8564
-1.3009 -2.8717 0.8081
-4.2990 -4.3234 -0.0974
-1.6985 -5.2494 5.5606
-0.6760 -5.6376 0.4257
-3.2765 -4.7116 -5.2323
-0.4405 -8.1676 1.9028
-4.5345 -1.7934 -1.5745
```

Record 2
Material: Na2AgSn2
Method: DFT, PBE-GGA
State: optimized geometry

## Properties
- energy above the most stable polymorph in this dataset (eV per atom) = 0.0000
- DOS(E_F) (states/eV/f.u.) = 1.9
- magnetization (μB/cell) = 0.00
- E (eV per atom) = -2.86

Cell and atoms, written as POSCAR:
```
Na2AgSn2
1.0
4.6474 0.0000 0.0000
2.3237 5.2096 -0.9008
2.3237 -0.9574 10.7180
Sn Ag Na
4 2 4
Cartesian
2.3237 3.5002 -0.1444
6.9710 3.6217 5.1371
6.9710 0.7520 9.9617
2.3237 0.6305 4.6801
2.3237 -0.4281 7.3469
6.9710 4.6802 2.4703
6.9710 3.7304 8.3293
4.6474 1.6374 7.0574
4.6474 2.6147 2.7598
2.3237 0.5218 1.4879
```

Record 3
Material: MnNbTe6
Method: DFT, PBE-GGA
State: optimized geometry

## Properties
- DOS(E_F) (states/eV/f.u.) = 4.8
- E_form (uncorrected) (eV per atom) = -0.094
- magnetization (μB/cell) = 3.33
- E (eV per atom) = -4.86

Cell and atoms, written as POSCAR:
```
MnNbTe6
1.0
6.6619 0.2396 0.5085
3.5288 5.8492 0.4668
3.7713 2.1863 6.4413
Te Mn Nb
6 1 1
Cartesian
5.7248 1.9978 2.3906
8.2372 6.2773 5.0260
9.2485 3.9101 2.2173
5.8849 5.8482 1.7919
4.7136 4.3650 5.1993
8.0771 2.4268 5.6247
0.0000 0.0000 0.0000
6.9810 4.1375 3.7083
```

Record 4
Material: NaCe2Se
Method: DFT, PBE-GGA
State: optimized geometry

## Properties
- DOS(E_F) (states/eV/f.u.) = 12.6
- E_form (uncorrected) (eV per atom) = -0.504
- magnetization (μB/cell) = 3.27
- E (eV per atom) = -4.67

Cell and atoms, written as POSCAR:
```
NaCe2Se
1.0
3.8003 0.0000 0.0000
1.9001 3.2911 0.0000
1.9001 1.0970 11.1378
Na Se Ce
1 1 2
Cartesian
0.0000 0.0000 0.0000
3.8003 2.1941 5.5689
5.7004 3.2911 3.6756
1.9001 1.0970 7.4622
```

Record 5
Material: Fe2CuC
Method: DFT, PBE-GGA
State: optimized geometry

## Properties
- DOS(E_F) (states/eV/f.u.) = 2.5
- magnetization (μB/cell) = 3.32
- E (eV per atom) = -7.38

Cell and atoms, written as POSCAR:
```
Fe2CuC
1.0
2.7995 0.0000 0.0000
1.3997 2.4244 0.0000
1.3997 0.8081 6.1531
C Fe Cu
1 2 1
Cartesian
0.0000 0.0000 0.0000
4.1992 2.4244 5.1256
1.3997 0.8081 1.0275
2.7995 1.6163 3.0765
```

Record 6
Material: K6MoBr12
Method: DFT, PBE-GGA
State: optimized geometry

## Properties
- E_form (uncorrected) (eV per atom) = -1.187
- magnetization (μB/cell) = 0.38
- E (eV per atom) = -3.16

Cell and atoms, written as POSCAR:
```
K6MoBr12
1.0
-7.5201 -1.3316 -5.6506
5.3550 -1.8142 -7.6345
-0.1287 -9.3883 1.4484
Br K Mo
12 6 1
Cartesian
0.0027 -5.5938 -9.2364
3.2446 -11.4098 -7.6912
-2.2753 -5.5897 -12.7846
-5.5384 -1.1242 -4.1455
-4.5102 -7.2999 -6.5552
-2.2965 -6.9403 -2.6003
-0.0185 -6.9444 0.9478
-2.7191 -3.1210 -6.5627
0.4253 -9.4130 -5.2741
-6.1248 -11.1715 -6.1280
2.2164 -5.2341 -5.2815
3.8310 -1.3626 -5.7088
0.8817 -7.1549 -2.9848
1.9003 -7.6062 -7.4773
-4.1941 -4.9278 -4.3595
0.5144 -3.2066 -7.0945
-3.1755 -5.3791 -8.8519
-2.8082 -9.3274 -4.7422
0.0000 0.0000 0.0000
```